*P*
Entry from the Alexandria database: a geometry-optimized AcTh2Al structure (GGA-PBE). Values from VASP.

```
&SYSTEM
  ibrav = 0, nat = 4, ntyp = 3
/
ATOMIC_SPECIES
Ac 227.00 Ac.upf
Al 26.98 Al.upf
Th 232.04 Th.upf
CELL_PARAMETERS angstrom
3.763 0.000 0.000
0.000 3.763 0.000
0.000 0.000 8.931
ATOMIC_POSITIONS crystal
Ac 0.500 0.500 0.500
Al 0.500 0.500 0.000
Th 0.000 0.000 0.798
Th 0.000 0.000 0.202
```

*Q*
Entry from the Alexandria database: a geometry-optimized AcTh2Al structure (GGA-PBE). Values from VASP.

```
&SYSTEM
  ibrav = 0, nat = 4, ntyp = 3
/
ATOMIC_SPECIES
Ac 227.00 Ac.upf
Al 26.98 Al.upf
Th 232.04 Th.upf
CELL_PARAMETERS angstrom
-0.412 -2.947 1.901
-0.990 -2.998 -1.582
11.058 -4.800 -1.766
ATOMIC_POSITIONS crystal
Ac 0.000 0.000 0.000
Al 0.500 0.500 0.500
Th 0.098 0.098 0.705
Th 0.902 0.902 0.295
```

*R*
Entry from the Alexandria database: a geometry-optimized AcTh2Al structure (GGA-PBE). Values from VASP.

```
&SYSTEM
  ibrav = 0, nat = 4, ntyp = 3
/
ATOMIC_SPECIES
Ac 227.00 Ac.upf
Al 26.98 Al.upf
Th 232.04 Th.upf
CELL_PARAMETERS angstrom
4.998 0.000 0.000
0.000 4.986 0.000
0.000 0.000 4.986
ATOMIC_POSITIONS crystal
Ac 0.500 0.500 0.500
Al 0.500 0.000 0.000
Th 0.000 0.000 0.500
Th 0.000 0.500 0.000
```

Least stable of them? *Q*.

*P*
Entry from the Alexandria database: a geometry-optimized Ac3AlTl2 structure (GGA-PBE). Values from VASP.

```
&SYSTEM
  ibrav = 0, nat = 12, ntyp = 3
/
ATOMIC_SPECIES
Ac 227.00 Ac.upf
Al 26.98 Al.upf
Tl 204.38 Tl.upf
CELL_PARAMETERS angstrom
-6.808 0.651 -1.236
-0.675 -6.972 0.049
2.134 2.004 8.835
ATOMIC_POSITIONS crystal
Ac 0.653 0.250 0.000
Ac 0.347 0.750 0.000
Ac 0.278 0.104 0.339
Ac 0.939 0.396 0.661
Ac 0.061 0.604 0.339
Ac 0.722 0.896 0.661
Al 0.851 0.750 0.000
Al 0.149 0.250 0.000
Tl 0.542 0.531 0.317
Tl 0.775 0.031 0.317
Tl 0.225 0.969 0.683
Tl 0.458 0.469 0.683
```

*Q*
Entry from the Alexandria database: a geometry-optimized Ac3AlTl2 structure (GGA-PBE). Values from VASP.

```
&SYSTEM
  ibrav = 0, nat = 24, ntyp = 3
/
ATOMIC_SPECIES
Ac 227.00 Ac.upf
Al 26.98 Al.upf
Tl 204.38 Tl.upf
CELL_PARAMETERS angstrom
-0.411 -2.317 -4.105
-10.345 -6.940 4.952
-8.496 9.461 -4.489
ATOMIC_POSITIONS crystal
Ac 0.250 0.382 0.065
Ac 0.750 0.618 0.935
Ac 0.750 0.882 0.435
Ac 0.250 0.118 0.565
Ac 0.250 0.711 0.210
Ac 0.750 0.289 0.790
Ac 0.750 0.211 0.290
Ac 0.250 0.789 0.710
Ac 0.250 0.448 0.383
Ac 0.750 0.552 0.617
Ac 0.750 0.948 0.117
Ac 0.250 0.052 0.883
Al 0.250 0.139 0.133
Al 0.750 0.861 0.867
Al 0.750 0.639 0.367
Al 0.250 0.361 0.633
Tl 0.250 0.691 0.479
Tl 0.750 0.309 0.521
Tl 0.750 0.191 0.021
Tl 0.250 0.809 0.979
Tl 0.250 0.010 0.306
Tl 0.750 0.990 0.694
Tl 0.750 0.510 0.194
Tl 0.250 0.490 0.806
```

Least stable of them? *P*.

*P*
Entry from the Alexandria database: a geometry-optimized AcTm2Al structure (GGA-PBE). Values from VASP.

```
&SYSTEM
  ibrav = 0, nat = 4, ntyp = 3
/
ATOMIC_SPECIES
Ac 227.00 Ac.upf
Tm 168.93 Tm.upf
Al 26.98 Al.upf
CELL_PARAMETERS angstrom
3.599 0.000 0.000
0.000 3.599 0.000
0.000 0.000 9.196
ATOMIC_POSITIONS crystal
Ac 0.500 0.500 0.500
Tm 0.000 0.000 0.803
Tm 0.000 0.000 0.197
Al 0.500 0.500 0.000
```

*Q*
Entry from the Alexandria database: a geometry-optimized AcTm2Al structure (GGA-PBE). Values from VASP.

```
&SYSTEM
  ibrav = 0, nat = 4, ntyp = 3
/
ATOMIC_SPECIES
Ac 227.00 Ac.upf
Tm 168.93 Tm.upf
Al 26.98 Al.upf
CELL_PARAMETERS angstrom
-3.020 -0.926 4.462
-4.238 -3.446 -0.234
0.269 -4.841 2.526
ATOMIC_POSITIONS crystal
Ac 0.000 0.000 0.000
Tm 0.250 0.250 0.250
Tm 0.750 0.750 0.750
Al 0.500 0.500 0.500
```

*R*
Entry from the Alexandria database: a geometry-optimized AcTm2Al structure (GGA-PBE). Values from VASP.

```
&SYSTEM
  ibrav = 0, nat = 4, ntyp = 3
/
ATOMIC_SPECIES
Ac 227.00 Ac.upf
Tm 168.93 Tm.upf
Al 26.98 Al.upf
CELL_PARAMETERS angstrom
-3.010 3.985 -0.786
-2.534 0.434 -4.353
-6.372 -1.483 0.626
ATOMIC_POSITIONS crystal
Ac 0.491 0.491 0.527
Tm 0.041 0.041 0.877
Tm 0.280 0.280 0.159
Al 0.688 0.688 0.936
```

*S*
Entry from the Alexandria database: a geometry-optimized AcTm2Al structure (GGA-PBE). Values from VASP.

```
&SYSTEM
  ibrav = 0, nat = 4, ntyp = 3
/
ATOMIC_SPECIES
Ac 227.00 Ac.upf
Tm 168.93 Tm.upf
Al 26.98 Al.upf
CELL_PARAMETERS angstrom
4.950 0.000 0.000
0.000 4.896 0.000
0.000 0.000 4.896
ATOMIC_POSITIONS crystal
Ac 0.500 0.500 0.500
Tm 0.000 0.000 0.500
Tm 0.000 0.500 0.000
Al 0.500 0.000 0.000
```

Least stable of them? *Q*.

*P*
Entry from the Alexandria database: a geometry-optimized AcYAl structure (GGA-PBE). Values from VASP.

```
&SYSTEM
  ibrav = 0, nat = 3, ntyp = 3
/
ATOMIC_SPECIES
Y 88.91 Y.upf
Ac 227.00 Ac.upf
Al 26.98 Al.upf
CELL_PARAMETERS angstrom
-1.730 0.468 -3.530
-3.169 -4.107 1.009
-1.484 4.883 1.374
ATOMIC_POSITIONS crystal
Y 0.543 0.667 0.333
Ac 0.014 0.000 0.000
Al 0.443 0.333 0.667
```

*Q*
Entry from the Alexandria database: a geometry-optimized AcYAl structure (GGA-PBE). Values from VASP.

```
&SYSTEM
  ibrav = 0, nat = 3, ntyp = 3
/
ATOMIC_SPECIES
Y 88.91 Y.upf
Ac 227.00 Ac.upf
Al 26.98 Al.upf
CELL_PARAMETERS angstrom
3.695 0.000 0.000
0.000 3.695 0.000
-1.848 -1.848 6.892
ATOMIC_POSITIONS crystal
Y 0.588 0.588 0.176
Ac 0.300 0.300 0.600
Al 0.962 0.962 0.925
```

Least stable of them? *P*.

*P*
Entry from the Alexandria database: a geometry-optimized AcAlZn2 structure (GGA-PBE). Values from VASP.

```
&SYSTEM
  ibrav = 0, nat = 4, ntyp = 3
/
ATOMIC_SPECIES
Ac 227.00 Ac.upf
Al 26.98 Al.upf
Zn 65.41 Zn.upf
CELL_PARAMETERS angstrom
-4.148 1.334 -1.177
-1.947 -0.818 5.936
1.856 3.825 -2.208
ATOMIC_POSITIONS crystal
Ac 0.500 0.500 0.000
Al 0.500 0.000 0.000
Zn 0.000 0.822 0.644
Zn 0.000 0.178 0.356
```

*Q*
Entry from the Alexandria database: a geometry-optimized AcAlZn2 structure (GGA-PBE). Values from VASP.

```
&SYSTEM
  ibrav = 0, nat = 4, ntyp = 3
/
ATOMIC_SPECIES
Ac 227.00 Ac.upf
Zn 65.41 Zn.upf
Al 26.98 Al.upf
CELL_PARAMETERS angstrom
5.051 0.000 0.000
2.525 4.374 0.000
2.525 1.458 4.124
ATOMIC_POSITIONS crystal
Ac 0.000 0.000 0.000
Zn 0.250 0.250 0.250
Zn 0.750 0.750 0.750
Al 0.500 0.500 0.500
```

*R*
Entry from the Alexandria database: a geometry-optimized AcAlZn2 structure (GGA-PBE). Values from VASP.

```
&SYSTEM
  ibrav = 0, nat = 4, ntyp = 3
/
ATOMIC_SPECIES
Ac 227.00 Ac.upf
Zn 65.41 Zn.upf
Al 26.98 Al.upf
CELL_PARAMETERS angstrom
4.418 0.000 0.000
2.209 3.826 0.000
2.209 1.275 5.533
ATOMIC_POSITIONS crystal
Ac 0.500 0.500 0.500
Zn 0.708 0.708 0.876
Zn 0.292 0.292 0.124
Al 0.000 0.000 0.000
```

*S*
Entry from the Alexandria database: a geometry-optimized AcAlZn2 structure (GGA-PBE). Values from VASP.

```
&SYSTEM
  ibrav = 0, nat = 4, ntyp = 3
/
ATOMIC_SPECIES
Ac 227.00 Ac.upf
Zn 65.41 Zn.upf
Al 26.98 Al.upf
CELL_PARAMETERS angstrom
3.538 0.000 0.000
0.000 3.538 0.000
0.000 0.000 7.227
ATOMIC_POSITIONS crystal
Ac 0.500 0.500 0.000
Zn 0.000 0.000 0.688
Zn 0.000 0.000 0.312
Al 0.500 0.500 0.500
```

Least stable of them? *P*.

*P*
Entry from the Alexandria database: a geometry-optimized AcAlZn2 structure (GGA-PBE). Values from VASP.

```
&SYSTEM
  ibrav = 0, nat = 4, ntyp = 3
/
ATOMIC_SPECIES
Ac 227.00 Ac.upf
Zn 65.41 Zn.upf
Al 26.98 Al.upf
CELL_PARAMETERS angstrom
-1.506 3.975 0.350
-4.365 -1.550 -1.180
-0.973 -0.775 4.616
ATOMIC_POSITIONS crystal
Ac 0.500 0.500 0.500
Zn 0.000 0.000 0.500
Zn 0.000 0.500 0.000
Al 0.500 0.000 0.000
```

*Q*
Entry from the Alexandria database: a geometry-optimized AcAlZn2 structure (GGA-PBE). Values from VASP.

```
&SYSTEM
  ibrav = 0, nat = 8, ntyp = 3
/
ATOMIC_SPECIES
Ac 227.00 Ac.upf
Al 26.98 Al.upf
Zn 65.41 Zn.upf
CELL_PARAMETERS angstrom
-1.035 -4.530 -1.332
4.951 2.178 -2.483
3.719 -2.409 5.302
ATOMIC_POSITIONS crystal
Ac 0.768 0.536 0.500
Ac 0.566 0.133 0.000
Al 0.283 0.566 0.809
Al 0.283 0.566 0.191
Zn 0.049 0.098 0.686
Zn 0.049 0.098 0.314
Zn 0.867 0.735 0.000
Zn 0.463 0.926 0.500
```

Least stable of them? *P*.

*P*
Entry from the Alexandria database: a geometry-optimized AcAlZn3 structure (GGA-PBE). Values from VASP.

```
&SYSTEM
  ibrav = 0, nat = 5, ntyp = 3
/
ATOMIC_SPECIES
Ac 227.00 Ac.upf
Al 26.98 Al.upf
Zn 65.41 Zn.upf
CELL_PARAMETERS angstrom
-0.408 -1.012 4.377
3.855 -2.335 -0.190
0.972 5.994 -0.829
ATOMIC_POSITIONS crystal
Ac 0.398 0.398 0.798
Al 0.777 0.777 0.554
Zn 0.649 0.149 0.298
Zn 0.149 0.649 0.298
Zn 0.023 0.023 0.046
```

*Q*
Entry from the Alexandria database: a geometry-optimized AcAlZn3 structure (GGA-PBE). Values from VASP.

```
&SYSTEM
  ibrav = 0, nat = 10, ntyp = 3
/
ATOMIC_SPECIES
Ac 227.00 Ac.upf
Al 26.98 Al.upf
Zn 65.41 Zn.upf
CELL_PARAMETERS angstrom
6.154 -0.461 -3.153
-3.746 5.799 -0.603
-0.298 0.461 6.908
ATOMIC_POSITIONS crystal
Ac 0.000 0.750 0.750
Ac 0.000 0.250 0.250
Al 0.500 0.500 0.000
Al 0.500 0.000 0.500
Zn 0.000 0.750 0.250
Zn 0.500 0.750 0.250
Zn 0.500 0.750 0.750
Zn 0.500 0.250 0.750
Zn 0.500 0.250 0.250
Zn 0.000 0.250 0.750
```

Least stable of them? *Q*.

*P*
Entry from the Alexandria database: a geometry-optimized Ac3AlZn3 structure (GGA-PBE). Values from VASP.

```
&SYSTEM
  ibrav = 0, nat = 14, ntyp = 3
/
ATOMIC_SPECIES
Ac 227.00 Ac.upf
Al 26.98 Al.upf
Zn 65.41 Zn.upf
CELL_PARAMETERS angstrom
-1.874 -0.740 5.738
-1.880 -9.039 -1.780
8.513 2.508 3.104
ATOMIC_POSITIONS crystal
Ac 0.750 0.727 0.669
Ac 0.750 0.331 0.058
Ac 0.750 0.942 0.273
Ac 0.250 0.273 0.331
Ac 0.250 0.669 0.942
Ac 0.250 0.058 0.727
Al 0.250 0.667 0.333
Al 0.750 0.333 0.667
Zn 0.250 0.653 0.595
Zn 0.250 0.405 0.059
Zn 0.250 0.941 0.347
Zn 0.750 0.347 0.405
Zn 0.750 0.595 0.941
Zn 0.750 0.059 0.653
```

*Q*
Entry from the Alexandria database: a geometry-optimized Ac3AlZn3 structure (GGA-PBE). Values from VASP.

```
&SYSTEM
  ibrav = 0, nat = 14, ntyp = 3
/
ATOMIC_SPECIES
Ac 227.00 Ac.upf
Al 26.98 Al.upf
Zn 65.41 Zn.upf
CELL_PARAMETERS angstrom
4.762 0.000 0.717
2.363 5.612 0.476
0.206 -0.181 14.798
ATOMIC_POSITIONS crystal
Ac 0.543 0.300 0.614
Ac 0.457 0.700 0.386
Ac 0.237 0.296 0.229
Ac 0.763 0.704 0.771
Ac 0.395 0.288 0.923
Ac 0.605 0.712 0.077
Al 0.750 0.102 0.398
Al 0.250 0.898 0.602
Zn 0.866 0.730 0.538
Zn 0.134 0.270 0.462
Zn 0.100 0.877 0.923
Zn 0.900 0.123 0.077
Zn 0.938 0.888 0.235
Zn 0.062 0.112 0.765
```

Least stable of them? *P*.

*P*
Entry from the Alexandria database: a geometry-optimized AcAlZn structure (GGA-PBE). Values from VASP.

```
&SYSTEM
  ibrav = 0, nat = 3, ntyp = 3
/
ATOMIC_SPECIES
Ac 227.00 Ac.upf
Zn 65.41 Zn.upf
Al 26.98 Al.upf
CELL_PARAMETERS angstrom
4.914 0.000 0.000
2.457 4.256 0.000
2.457 1.419 4.013
ATOMIC_POSITIONS crystal
Ac 0.500 0.500 0.500
Zn 0.250 0.250 0.250
Al 0.000 0.000 0.000
```

*Q*
Entry from the Alexandria database: a geometry-optimized AcAlZn structure (GGA-PBE). Values from VASP.

```
&SYSTEM
  ibrav = 0, nat = 3, ntyp = 3
/
ATOMIC_SPECIES
Ac 227.00 Ac.upf
Zn 65.41 Zn.upf
Al 26.98 Al.upf
CELL_PARAMETERS angstrom
-3.400 -0.497 -2.410
-0.955 -4.023 2.177
-1.746 4.014 1.636
ATOMIC_POSITIONS crystal
Ac 0.667 0.667 0.333
Zn 0.167 0.333 0.667
Al 0.167 0.000 0.000
```

*R*
Entry from the Alexandria database: a geometry-optimized AcAlZn structure (GGA-PBE). Values from VASP.

```
&SYSTEM
  ibrav = 0, nat = 6, ntyp = 3
/
ATOMIC_SPECIES
Ac 227.00 Ac.upf
Al 26.98 Al.upf
Zn 65.41 Zn.upf
CELL_PARAMETERS angstrom
-1.763 -3.316 -2.941
3.663 -4.743 -0.717
-3.365 -4.305 3.003
ATOMIC_POSITIONS crystal
Ac 0.958 0.786 0.297
Ac 0.042 0.214 0.703
Al 0.339 0.217 0.104
Al 0.661 0.783 0.896
Zn 0.669 0.393 0.269
Zn 0.331 0.607 0.731
```

*S*
Entry from the Alexandria database: a geometry-optimized AcAlZn structure (GGA-PBE). Values from VASP.

```
&SYSTEM
  ibrav = 0, nat = 3, ntyp = 3
/
ATOMIC_SPECIES
Ac 227.00 Ac.upf
Zn 65.41 Zn.upf
Al 26.98 Al.upf
CELL_PARAMETERS angstrom
3.570 0.000 0.000
0.000 3.570 0.000
-1.785 -1.785 5.912
ATOMIC_POSITIONS crystal
Ac 0.998 0.998 0.996
Zn 0.304 0.304 0.607
Al 0.698 0.698 0.397
```

Least stable of them? *S*.